NiHPd3: relaxed, PBE.

Structure (extended XYZ):
```
5
Lattice="4.5935 0.0000 0.0000 0.0000 4.5935 0.0000 0.0000 0.0000 4.5935" Properties=species:S:1:pos:R:3 pbc="T T T"
Ni 0.0000 0.0000 0.0000
Pd 2.2967 0.0000 0.0000
Pd 0.0000 0.0000 2.2967
Pd 0.0000 2.2967 0.0000
H 2.2967 2.2967 2.2967
```

Magnetic moment ... 1.9 Bohr magnetons per cell
Fermi-level density of states ... 8.45 states/eV/cell
Symmetry ... No. 221
Calculated density ... 6.5 g/cm³
Crystal system ... cubic
E above lowest polymorph ... 1.330 eV/atom